a:
DFT (PBE-GGA) results for crystalline AcLa2Ga at its relaxed geometry.

Lattice parameters (Å, degrees): 23.755 3.871 5.848 90.00 90.00 90.00
Sites, in units of the cell vectors:
1 Ac 0.223 0.250 0.170
2 Ac 0.277 0.750 0.670
3 Ac 0.723 0.250 0.330
4 Ac 0.777 0.750 0.830
5 La 0.013 0.250 0.232
6 La 0.124 0.250 0.630
7 La 0.376 0.750 0.130
8 La 0.487 0.750 0.732
9 La 0.513 0.250 0.268
10 La 0.624 0.250 0.870
11 La 0.876 0.750 0.370
12 La 0.987 0.750 0.768
13 Ga 0.112 0.750 0.093
14 Ga 0.388 0.250 0.593
15 Ga 0.612 0.750 0.407
16 Ga 0.888 0.250 0.907

Properties
crystal system: orthorhombic
SG: Pnma
V: 538 Å³ per cell
D(E_F): 21.07 states/eV per cell

b:
DFT (PBE-GGA) results for crystalline AcLa2Ga at its relaxed geometry.

Lattice parameters (Å, degrees): 5.001 5.001 5.113 90.00 90.00 90.00
Sites, in units of the cell vectors:
1 Ac 0.000 0.000 0.000
2 La 0.000 0.500 0.500
3 La 0.500 0.000 0.500
4 Ga 0.500 0.500 0.000

Properties
crystal system: tetragonal
SG: P4/mmm
V: 128 Å³ per cell
D(E_F): 5.37 states/eV per cell

c:
DFT (PBE-GGA) results for crystalline AcLa2Ga at its relaxed geometry.

Lattice parameters (Å, degrees): 5.692 5.692 5.692 60.00 60.00 60.00
Sites, in units of the cell vectors:
1 Ac 0.000 0.000 0.000
2 La 0.250 0.250 0.250
3 La 0.750 0.750 0.750
4 Ga 0.500 0.500 0.500

Properties
crystal system: cubic
SG: Fm-3m
V: 130 Å³ per cell
D(E_F): 7.11 states/eV per cell

d:
DFT (PBE-GGA) results for crystalline AcLa2Ga at its relaxed geometry.

Lattice parameters (Å, degrees): 3.795 3.795 9.348 90.00 90.00 90.00
Sites, in units of the cell vectors:
1 Ac 0.000 0.000 0.000
2 La 0.500 0.500 0.303
3 La 0.500 0.500 0.697
4 Ga 0.000 0.000 0.500

Properties
crystal system: tetragonal
SG: P4/mmm
V: 135 Å³ per cell
D(E_F): 6.09 states/eV per cell

Which of them is the least stable? Correct choice: c.